Entry from Alexandria via LeMat-Bulk: a relaxed structure of Dy2MoO6 (PBE+U).

Calculated values
The calculation puts the total energy at -7.903 eV per atom. The space-group type is No. 15. The density comes out at 7.29 Mg/m³.

Cell lengths 9.9437, 9.9437, 5.4006 Å; angles 75.08, 75.08, 68.15 degrees
Element x y z (fractional)
Dy 0.6065 0.3935 0.2500
O 0.8169 0.7113 0.8627
Dy 0.5528 0.7840 0.1217
O 0.6093 0.5735 0.4222
O 0.1162 0.6744 0.6265
O 0.8838 0.3256 0.3735
Dy 0.2160 0.4472 0.3783
O 0.5735 0.6093 0.9222
Dy 0.7840 0.5528 0.6217
O 0.2887 0.1831 0.6373
O 0.5673 0.9749 0.7441
O 0.1831 0.2887 0.1373
O 0.3379 0.8079 0.4177
O 0.1921 0.6621 0.0823
Dy 0.8640 0.1360 0.7500
Dy 0.3935 0.6065 0.7500
O 0.4327 0.0251 0.2559
O 0.1108 0.0474 0.5153
O 0.9749 0.5673 0.2441
O 0.8892 0.9526 0.4847
O 0.7113 0.8169 0.3627
O 0.6744 0.1162 0.1265
O 0.6621 0.1921 0.5823
Mo 0.9892 0.7033 0.9387
Dy 0.1360 0.8640 0.2500
O 0.0474 0.1108 0.0153
O 0.0251 0.4327 0.7559
Dy 0.4472 0.2160 0.8783
O 0.9526 0.8892 0.9847
O 0.3907 0.4265 0.5778
O 0.3256 0.8838 0.8735
O 0.8079 0.3379 0.9177
O 0.4265 0.3907 0.0778
Mo 0.7033 0.9892 0.4387
Mo 0.0108 0.2967 0.0613
Mo 0.2967 0.0108 0.5613